Entry 1:
Below is a relaxed PtS2Br crystal, with properties calculated at the PBE level.

```
4
Lattice="0.000 3.258 3.258 3.258 0.000 3.258 3.258 3.258 0.000" Properties=species:S:1:pos:R:3 pbc="T T T"
Pt 0.000 0.000 0.000
S 1.629 1.629 1.629
S 4.888 4.888 4.888
Br 3.258 3.258 3.258
```

Summary:
E_form (uncorrected)   92.4 kJ/mol of atoms
Energy above the most stable polymorph in this dataset   1106 meV per atom
Crystal system   cubic
DOS(E_F)   1.65 states/eV per atom

---

Entry 2:
Below is a relaxed Pt2SBr crystal, with properties calculated at the PBE level.

```
8
Lattice="-3.086 3.086 4.678 3.086 -3.086 4.678 3.086 3.086 -4.678" Properties=species:S:1:pos:R:3 pbc="T T T"
Pt 4.630 1.133 -1.169
Pt 1.133 1.543 1.169
Pt -1.543 1.953 3.508
Pt 1.953 1.543 5.847
S 0.000 0.000 0.000
S 0.000 3.086 2.339
Br 3.086 0.000 2.339
Br 0.000 0.000 4.678
```

Summary:
E_form (uncorrected)   15.5 kJ/mol of atoms
Energy above the most stable polymorph in this dataset   0 meV per atom
Crystal system   tetragonal
DOS(E_F)   0.46 states/eV per atom

---

Please write out number 1 again, unchanged.
Below is a relaxed PtS2Br crystal, with properties calculated at the PBE level.

```
4
Lattice="0.000 3.258 3.258 3.258 0.000 3.258 3.258 3.258 0.000" Properties=species:S:1:pos:R:3 pbc="T T T"
Pt 0.000 0.000 0.000
S 1.629 1.629 1.629
S 4.888 4.888 4.888
Br 3.258 3.258 3.258
```

Summary:
E_form (uncorrected)   92.4 kJ/mol of atoms
Energy above the most stable polymorph in this dataset   1106 meV per atom
Crystal system   cubic
DOS(E_F)   1.65 states/eV per atom

---

Q: Which of these has the highest E_form (uncorrected)?
A: PtS2Br

---

What did the first record say?
Below is a relaxed PtS2Br crystal, with properties calculated at the PBE level.

```
4
Lattice="0.000 3.258 3.258 3.258 0.000 3.258 3.258 3.258 0.000" Properties=species:S:1:pos:R:3 pbc="T T T"
Pt 0.000 0.000 0.000
S 1.629 1.629 1.629
S 4.888 4.888 4.888
Br 3.258 3.258 3.258
```

Summary:
E_form (uncorrected)   92.4 kJ/mol of atoms
Energy above the most stable polymorph in this dataset   1106 meV per atom
Crystal system   cubic
DOS(E_F)   1.65 states/eV per atom